1.
8
Lattice="2.703 1.560 9.318 -2.703 1.560 9.318 0.000 -3.121 9.318" Properties=species:S:1:pos:R:3 comment="LiLa2CeTl4, relaxed, DFT PBE" m_tot_mub_per_cell=1.0 delta_e_f_mev_per_atom=-325 dos_ef_per_ev_atom=1.4542 sg="R-3m (166)" pbc="T T T"
Li 0.000 0.000 0.000
La 0.000 0.000 7.175
La 0.000 0.000 20.780
Ce 0.000 0.000 13.977
Tl 0.000 0.000 3.488
Tl 0.000 0.000 10.428
Tl 0.000 0.000 17.526
Tl 0.000 0.000 24.466

***

2.
5
Lattice="4.660 0.000 0.000 0.000 4.660 0.000 0.000 0.000 4.660" Properties=species:S:1:pos:R:3 comment="Zr3BeMo, relaxed, DFT PBE" m_tot_mub_per_cell=0.0 delta_e_f_mev_per_atom=630 dos_ef_per_ev_atom=1.9457 relative_energy_mev_per_atom=0 sg="Pm-3m (221)" pbc="T T T"
Zr 0.000 0.000 2.330
Zr 0.000 2.330 0.000
Zr 2.330 0.000 0.000
Be 0.000 0.000 0.000
Mo 2.330 2.330 2.330

***

3.
5
Lattice="5.779 0.000 0.000 0.000 5.779 0.000 0.000 0.000 5.185" Properties=species:S:1:pos:R:3 comment="KBaLa2W, relaxed, DFT PBE" m_tot_mub_per_cell=0.0 delta_e_f_mev_per_atom=1696 dos_ef_per_ev_atom=1.7960 sg="P4/mmm (123)" pbc="T T T"
K 0.000 0.000 0.000
Ba 2.890 2.890 2.592
La 0.000 2.890 0.000
La 2.890 0.000 0.000
W 0.000 0.000 2.592

***

4.
12
Lattice="3.387 0.000 0.000 -0.643 5.559 0.000 -0.969 -2.927 9.173" Properties=species:S:1:pos:R:3 comment="LiAg4F7, relaxed, DFT PBE" m_tot_mub_per_cell=0.0 dos_ef_per_ev_atom=0.4305 sg="P1 (1)" raw_formation_energy_ev_per_atom=-1.38 pbc="T T T"
Li 0.000 0.000 0.000
Ag -0.206 -0.132 3.818
Ag -0.547 -0.097 7.895
Ag 0.567 2.763 5.706
Ag 1.682 2.524 1.942
F -0.066 0.749 1.852
F -0.066 3.742 0.621
F -0.274 -0.788 5.870
F 0.439 3.756 3.543
F 0.613 -1.834 8.605
F 1.928 1.470 4.416
F 1.589 1.619 7.319

***

5.
16
Lattice="6.789 0.000 0.000 0.000 6.789 0.000 0.000 0.000 6.789" Properties=species:S:1:pos:R:3 comment="LaPPt2, relaxed, DFT PBE" m_tot_mub_per_cell=0.0 delta_e_f_mev_per_atom=-477 dos_ef_per_ev_atom=0.7157 sg="F-43m (216)" pbc="T T T"
La 0.000 0.000 0.000
La 0.000 3.394 3.394
La 3.394 0.000 3.394
La 3.394 3.394 0.000
P 1.697 1.697 1.697
P 1.697 5.091 5.091
P 5.091 1.697 5.091
P 5.091 5.091 1.697
Pt 0.000 0.000 3.394
Pt 0.000 3.394 0.000
Pt 1.697 1.697 5.091
Pt 1.697 5.091 1.697
Pt 3.394 0.000 0.000
Pt 3.394 3.394 3.394
Pt 5.091 1.697 1.697
Pt 5.091 5.091 5.091

***

6.
10
Lattice="3.333 0.000 0.000 0.000 3.333 0.000 0.000 0.000 16.943" Properties=species:S:1:pos:R:3 comment="Zr2Nb2Ru, relaxed, DFT PBE" m_tot_mub_per_cell=0.0 delta_e_f_mev_per_atom=-255 dos_ef_per_ev_atom=0.9434 relative_energy_mev_per_atom=0 sg="I4/mmm (139)" pbc="T T T"
Zr 0.000 0.000 1.615
Zr 0.000 0.000 15.328
Zr 1.667 1.667 6.857
Zr 1.667 1.667 10.086
Nb 0.000 0.000 4.979
Nb 0.000 0.000 11.963
Nb 1.667 1.667 3.492
Nb 1.667 1.667 13.451
Ru 0.000 0.000 8.471
Ru 1.667 1.667 0.000

***

7.
5
Lattice="5.206 0.000 0.000 0.000 5.206 0.000 0.000 0.000 4.920" Properties=species:S:1:pos:R:3 comment="Hf2TlVIr, relaxed, DFT PBE" m_tot_mub_per_cell=3.6 delta_e_f_mev_per_atom=1789 dos_ef_per_ev_atom=1.1377 sg="P4/mmm (123)" pbc="T T T"
Hf 0.000 2.603 0.000
Hf 2.603 0.000 0.000
Tl 0.000 0.000 0.000
V 2.603 2.603 2.460
Ir 0.000 0.000 2.460

***

8.
21
Lattice="5.322 0.000 0.000 -0.789 8.088 0.000 -2.226 -3.885 7.161" Properties=species:S:1:pos:R:3 comment="Yb2CuTe2S2O14, relaxed, DFT PBE" m_tot_mub_per_cell=1.0 dos_ef_per_ev_atom=1.5215 sg="P-1 (2)" raw_formation_energy_ev_per_atom=-1.63 pbc="T T T"
Yb 0.721 1.798 0.178
Yb 1.586 2.405 6.984
Cu 1.153 2.101 3.581
Te -1.404 3.694 4.553
Te 3.710 0.509 2.608
S 1.031 5.065 1.717
S 1.275 -0.863 5.445
O -2.010 3.916 6.326
O -0.473 2.123 2.620
O -0.291 5.755 1.697
O 1.011 4.000 0.677
O 0.215 -1.863 5.801
O 0.193 2.736 5.100
O 1.008 -0.303 4.104
O 1.298 4.506 3.057
O 2.114 1.467 2.061
O 2.091 6.066 1.361
O 1.296 0.202 6.484
O 2.598 -1.552 5.464
O 2.780 2.080 4.542
O 4.317 0.287 0.835

***

9.
20
Lattice="8.102 -7.039 0.000 8.102 7.039 0.000 -3.036 0.000 7.352" Properties=species:S:1:pos:R:3 comment="TlCu2PbI6, relaxed, DFT PBE" m_tot_mub_per_cell=0.0 dos_ef_per_ev_atom=1.2278 sg="C2/c (15)" raw_formation_energy_ev_per_atom=-0.35 pbc="T T T"
Tl 5.825 5.706 5.514
Tl 7.343 -5.706 1.838
Cu 2.188 1.063 6.491
Cu 3.706 -1.063 2.815
Cu 9.462 1.063 4.537
Cu 10.980 -1.063 0.861
Pb 7.343 3.217 1.838
Pb 5.825 -3.217 5.514
I -0.114 1.358 5.221
I 3.684 3.137 6.023
I 1.404 -1.358 1.545
I 4.847 1.021 1.707
I 7.966 3.137 5.005
I 3.329 -1.021 5.383
I 9.839 1.021 1.969
I 5.202 -3.137 2.347
I 8.321 -1.021 5.644
I 11.764 1.358 5.807
I 9.485 -3.137 1.329
I 13.282 -1.358 2.131

***

10.
12
Lattice="3.634 0.000 0.000 1.752 4.194 0.000 0.182 1.897 4.872" Properties=species:S:1:pos:R:3 comment="BC3, relaxed, DFT PBE" m_tot_mub_per_cell=0.0 delta_e_f_mev_per_atom=340 dos_ef_per_ev_atom=0.1591 relative_energy_mev_per_atom=100 sg="P1 (1)" pbc="T T T"
B 0.000 0.000 0.000
B 1.072 3.402 4.636
B 1.912 2.647 3.273
C 0.925 2.268 2.088
C 1.882 1.841 0.938
C 2.777 4.032 2.940
C 2.749 3.034 0.505
C 3.702 4.507 4.110
C 3.670 3.510 1.690
C 2.792 0.613 1.305
C 2.877 1.441 3.685
C 3.722 1.027 2.483

***

11.
10
Lattice="2.974 1.717 5.170 -2.974 1.717 5.170 0.000 -3.434 5.170" Properties=species:S:1:pos:R:3 comment="Nd2AgTeO6, relaxed, DFT PBE" m_tot_mub_per_cell=0.0 dos_ef_per_ev_atom=0.3589 sg="R3 (146)" raw_formation_energy_ev_per_atom=-2.00 pbc="T T T"
Nd 0.000 0.000 0.000
Nd 0.000 0.000 7.605
Ag 0.000 0.000 3.587
Te 0.000 0.000 10.871
O -1.164 -1.871 6.706
O -1.579 -0.038 9.499
O -1.038 1.944 6.706
O 0.823 -1.348 9.499
O 2.203 -0.073 6.706
O 0.756 1.387 9.499

***

12.
11
Lattice="4.275 -6.212 0.000 4.275 6.212 0.000 -2.249 0.000 5.983" Properties=species:S:1:pos:R:3 comment="Pm8NiRh2, relaxed, DFT PBE" m_tot_mub_per_cell=0.0 delta_e_f_mev_per_atom=-257 dos_ef_per_ev_atom=0.8823 relative_energy_mev_per_atom=51 sg="Cm (8)" pbc="T T T"
Pm 0.000 0.000 0.000
Pm -0.042 1.670 3.368
Pm 2.594 2.399 1.149
Pm -0.042 -1.670 3.368
Pm 3.090 1.665 4.846
Pm 2.594 -2.399 1.149
Pm 3.090 -1.665 4.846
Pm 5.236 0.000 2.348
Ni 2.173 0.000 2.462
Rh 1.526 3.918 4.169
Rh 1.526 -3.918 4.169